Entry 1:
VASP calculation (GGA-PBE) on an optimized crystal structure of PuGeO.

Structure (CIF):
```
data_PuGeO
_cell_length_a 3.875
_cell_length_b 14.022
_cell_length_c 3.962
_cell_angle_alpha 90.00
_cell_angle_beta 90.00
_cell_angle_gamma 90.00
_symmetry_space_group_name_H-M 'C m c m'
_symmetry_Int_Tables_number 63
_symmetry_space_group_name_Hall '-C 2c 2'
loop_
_atom_site_label
_atom_site_fract_x
_atom_site_fract_y
_atom_site_fract_z
Pu1 0.000 0.164 0.250
Ge1 0.000 0.448 0.250
O1 0.000 0.250 0.750
```

Calculated values
E_form (uncorrected)	-1.812	eV per atom
density	10.26	g/cm³
D(E_F)	1.509	states/eV per atom



Entry 2:
VASP calculation (GGA-PBE) on an optimized crystal structure of PuGeO.

Structure (CIF):
```
data_PuGeO
_cell_length_a 3.7453
_cell_length_b 3.7453
_cell_length_c 4.8983
_cell_angle_alpha 90.00
_cell_angle_beta 90.00
_cell_angle_gamma 120.00
_symmetry_space_group_name_H-M 'P -6 m 2'
_symmetry_Int_Tables_number 187
_symmetry_space_group_name_Hall 'P -6 2'
loop_
_atom_site_label
_atom_site_fract_x
_atom_site_fract_y
_atom_site_fract_z
Pu1 0.0000 0.0000 0.0000
Ge1 0.6667 0.3333 0.5000
O1 0.3333 0.6667 0.0000
```

Calculated values
E_form (uncorrected)	-1.380	eV per atom
density	9.28	g/cm³
D(E_F)	1.748	states/eV per atom



Entry 3:
VASP calculation (GGA-PBE) on an optimized crystal structure of Pu3GeO.

Structure (CIF):
```
data_Pu3GeO
_cell_length_a 10.997
_cell_length_b 6.463
_cell_length_c 12.311
_cell_angle_alpha 90.00
_cell_angle_beta 107.45
_cell_angle_gamma 90.00
_symmetry_space_group_name_H-M 'C 1 2/c 1'
_symmetry_Int_Tables_number 15
_symmetry_space_group_name_Hall '-C 2yc'
loop_
_atom_site_label
_atom_site_fract_x
_atom_site_fract_y
_atom_site_fract_z
Pu1 0.085 0.194 0.088
Pu2 0.146 0.441 0.380
Pu3 0.148 0.070 0.832
Ge1 0.112 0.319 0.627
O1 0.000 0.207 0.250
O2 0.250 0.250 0.000
```

Calculated values
E_form (uncorrected)	-1.043	eV per atom
density	13.06	g/cm³
D(E_F)	4.063	states/eV per atom



Entry 4:
VASP calculation (GGA-PBE) on an optimized crystal structure of Pu6Ge3O.

Structure (CIF):
```
data_Pu6Ge3O
_cell_length_a 10.668
_cell_length_b 6.100
_cell_length_c 7.233
_cell_angle_alpha 90.00
_cell_angle_beta 100.70
_cell_angle_gamma 90.00
_symmetry_space_group_name_H-M 'C 1 2/m 1'
_symmetry_Int_Tables_number 12
_symmetry_space_group_name_Hall '-C 2y'
loop_
_atom_site_label
_atom_site_fract_x
_atom_site_fract_y
_atom_site_fract_z
Pu1 0.109 0.244 0.354
Pu2 0.157 0.500 0.890
Ge1 0.000 0.000 0.000
Ge2 0.158 0.000 0.728
O1 0.000 0.500 0.500
```

Calculated values
E_form (uncorrected)	-0.642	eV per atom
density	12.19	g/cm³
D(E_F)	3.690	states/eV per atom



Entry 5:
VASP calculation (GGA-PBE) on an optimized crystal structure of Pu3GeO3.

Structure (CIF):
```
data_Pu3GeO3
_cell_length_a 8.9846
_cell_length_b 8.9846
_cell_length_c 3.9249
_cell_angle_alpha 90.00
_cell_angle_beta 90.00
_cell_angle_gamma 120.00
_symmetry_space_group_name_H-M 'P 63/m'
_symmetry_Int_Tables_number 176
_symmetry_space_group_name_Hall '-P 6c'
loop_
_atom_site_label
_atom_site_fract_x
_atom_site_fract_y
_atom_site_fract_z
Pu1 0.0896 0.6917 0.2500
Ge1 0.3333 0.6667 0.7500
O1 0.0348 0.3136 0.2500
```

Calculated values
E_form (uncorrected)	-2.188	eV per atom
density	10.32	g/cm³
D(E_F)	2.528	states/eV per atom



Entry 6:
VASP calculation (GGA-PBE) on an optimized crystal structure of Pu5Ge2O2.

Structure (CIF):
```
data_Pu5Ge2O2
_cell_length_a 6.410
_cell_length_b 18.425
_cell_length_c 6.860
_cell_angle_alpha 90.00
_cell_angle_beta 90.00
_cell_angle_gamma 90.00
_symmetry_space_group_name_H-M 'I m m a'
_symmetry_Int_Tables_number 74
_symmetry_space_group_name_Hall '-I 2b 2'
loop_
_atom_site_label
_atom_site_fract_x
_atom_site_fract_y
_atom_site_fract_z
Pu1 0.000 0.137 0.098
Pu2 0.250 0.014 0.750
Pu3 0.250 0.250 0.750
Ge1 0.000 0.125 0.533
O1 0.000 0.000 0.000
O2 0.000 0.250 0.005
```

Calculated values
E_form (uncorrected)	-1.160	eV per atom
density	11.45	g/cm³
D(E_F)	4.010	states/eV per atom